[1]
Entry from the Alexandria database: a relaxed SrPr3Sb3 crystal (PBE).

Results
For the energy relative to the elements, uncorrected, the calculation gives -939 meV/atom.

Lattice parameters (Å, degrees): 9.548 9.548 8.437 55.54 55.54 60.00
Element x y z (fractional)
Sr (0.333, 0.333, 0.000)
Sr (0.667, 0.667, 0.000)
Pr (0.359, 0.811, 0.738)
Pr (0.811, 0.093, 0.738)
Pr (0.093, 0.359, 0.738)
Pr (0.907, 0.641, 0.262)
Pr (0.189, 0.907, 0.262)
Pr (0.641, 0.189, 0.262)
Sb (0.290, 0.543, 0.241)
Sb (0.926, 0.290, 0.241)
Sb (0.543, 0.926, 0.241)
Sb (0.457, 0.074, 0.759)
Sb (0.074, 0.710, 0.759)
Sb (0.710, 0.457, 0.759)

[2]
Entry from the Alexandria database: a relaxed ZrOsBr2 crystal (PBE).

Results
For the polymorph energy (0 for the lowest one), the calculation gives 0.9570 eV per atom. For the energy relative to the elements, uncorrected, the calculation gives 706 meV/atom.

Lattice parameters (Å, degrees): 4.717 4.717 4.717 60.00 60.00 60.00
Element x y z (fractional)
Os (0.500, 0.500, 0.500)
Br (0.250, 0.250, 0.250)
Br (0.750, 0.750, 0.750)
Zr (0.000, 0.000, 0.000)

Number 1: DFT total energy -69.92 eV for the cell shown. Number 2: DFT total energy -20.30 eV for the cell shown.